First-principles (PBE-GGA) data for a relaxed structure of LaCu3Pd4O12, as listed in the Alexandria database.

Geometry as POSCAR:
```
LaCu3Pd4O12
1.0
-5.1516 -1.9100 3.6895
4.8982 -4.4101 0.5991
2.1061 5.9287 2.0529
Cu Pd O La
3 4 12 1
Direct
0.0000 0.5000 0.5000 Cu
0.5000 0.0000 0.5000 Cu
0.5000 0.5000 0.0000 Cu
0.5000 0.5000 0.5000 Pd
0.5000 0.0000 0.0000 Pd
0.0000 0.0000 0.5000 Pd
0.0000 0.5000 0.0000 Pd
0.1637 0.4741 0.3104 O
0.6896 0.1637 0.8534 O
0.6896 0.8363 0.5259 O
0.8363 0.1466 0.3104 O
0.3104 0.1637 0.4741 O
0.4741 0.3104 0.1637 O
0.1637 0.8534 0.6896 O
0.8363 0.5259 0.6896 O
0.5259 0.6896 0.8363 O
0.8534 0.6896 0.1637 O
0.3104 0.8363 0.1466 O
0.1466 0.3104 0.8363 O
0.0000 0.0000 0.0000 La
```

Results
VASP energy in eV/atom: -5.6950
Crystal system: cubic
DOS(E_F) in states/eV per atom: 0.66

---

First-principles (PBE-GGA) data for a relaxed structure of LaPr2CuO5, as listed in the Alexandria database.

Geometry as POSCAR:
```
LaPr2CuO5
1.0
-5.8993 0.1984 -0.0370
-0.1108 -4.2472 -5.1066
-0.1982 -5.1029 4.2485
O La Pr Cu
10 2 4 2
Direct
0.7665 0.3407 0.1593 O
0.2335 0.8407 0.3407 O
0.2335 0.6593 0.8407 O
0.2335 0.3407 0.1593 O
0.5000 0.0000 0.0000 O
0.2335 0.1593 0.6593 O
0.7665 0.1593 0.6593 O
0.7665 0.6593 0.8407 O
0.7665 0.8407 0.3407 O
0.5000 0.5000 0.5000 O
0.0000 0.5000 0.5000 La
0.0000 0.0000 0.0000 La
0.5000 0.1645 0.3355 Pr
0.5000 0.8355 0.6645 Pr
0.5000 0.6645 0.1645 Pr
0.5000 0.3355 0.8355 Pr
0.0000 0.5000 0.0000 Cu
0.0000 0.0000 0.5000 Cu
```

Results
VASP energy in eV/atom: -7.3915
Crystal system: tetragonal

---

First-principles (PBE-GGA) data for a relaxed structure of La2PrCuO5, as listed in the Alexandria database.

Geometry as POSCAR:
```
La2PrCuO5
1.0
-2.4760 -5.3283 0.4573
5.2208 -2.1173 3.5974
-3.0882 1.9165 5.6099
O La Pr Cu
10 4 2 2
Direct
0.7703 0.1633 0.6633 O
0.2297 0.1633 0.6633 O
0.2297 0.3367 0.1633 O
0.2297 0.8367 0.3367 O
0.2297 0.6633 0.8367 O
0.7703 0.8367 0.3367 O
0.7703 0.6633 0.8367 O
0.5000 0.5000 0.5000 O
0.5000 0.0000 0.0000 O
0.7703 0.3367 0.1633 O
0.5000 0.8359 0.6641 La
0.5000 0.3359 0.8359 La
0.5000 0.6641 0.1641 La
0.5000 0.1641 0.3359 La
0.0000 0.0000 0.0000 Pr
0.0000 0.5000 0.5000 Pr
0.0000 0.0000 0.5000 Cu
0.0000 0.5000 0.0000 Cu
```

Results
VASP energy in eV/atom: -7.4098
Crystal system: tetragonal
DOS(E_F) in states/eV per atom: 0.24

---

First-principles (PBE-GGA) data for a relaxed structure of La2CuPtO5, as listed in the Alexandria database.

Geometry as POSCAR:
```
La2CuPtO5
1.0
-4.1552 -3.6519 1.4340
3.3422 -5.1372 -3.3983
3.4607 -1.6323 5.8710
O Pt Cu La
10 2 2 4
Direct
0.2500 0.3639 0.1361 O
0.7500 0.6361 0.8639 O
0.2500 0.1361 0.6361 O
0.5000 0.0000 0.0000 O
0.7500 0.1361 0.6361 O
0.7500 0.8639 0.3639 O
0.7500 0.3639 0.1361 O
0.2500 0.8639 0.3639 O
0.5000 0.5000 0.5000 O
0.2500 0.6361 0.8639 O
0.0000 0.5000 0.0000 Pt
0.0000 0.0000 0.5000 Pt
0.0000 0.5000 0.5000 Cu
0.0000 0.0000 0.0000 Cu
0.5000 0.8206 0.6794 La
0.5000 0.3206 0.8206 La
0.5000 0.1794 0.3206 La
0.5000 0.6794 0.1794 La
```

Results
VASP energy in eV/atom: -6.7919
Crystal system: tetragonal
DOS(E_F) in states/eV per atom: 0.91

---

Which value of VASP energy does entry 2 give? -7.3915 eV/atom